# CsNaI

An optimized crystal structure of CsNaI (PBE, Alexandria via LeMat-Bulk).

Cell lengths 7.965, 7.965, 7.965 Å; angles 142.98, 142.98, 53.36 degrees
Sites, in units of the cell vectors:
1 Cs 0.000 0.000 0.000
2 Na 0.296 0.296 0.000
3 I 0.584 0.584 0.000

Calculated values
Electronic total energy in eV per atom: -1.94
Spin magnetization in μB/f.u.: 0.0
DOS(E_F) in states/eV/f.u.: 1.937
Formation energy without anion corrections in eV per atom: -0.70